# NbCdIn, optimized geometry, DFT PBE
data_NbCdIn
_chemical_formula_sum 'Nb2 Cd2 In2'
_space_group_name_H-M_alt 'I 4 m m'
_space_group_IT_number 107
_space_group_name_Hall 'I 4 -2'
_cell_length_a 2.998
_cell_length_b 2.998
_cell_length_c 13.872
_cell_angle_alpha 90.00
_cell_angle_beta 90.00
_cell_angle_gamma 90.00
loop_
_atom_site_label
_atom_site_type_symbol
_atom_site_fract_x
_atom_site_fract_y
_atom_site_fract_z
Nb1 Nb 0.000 0.000 0.000
Cd1 Cd 0.000 0.000 0.341
In1 In 0.000 0.000 0.658
# Mass density in g cm⁻³: 8.5
# Calculated total energy in Ry/atom: -0.324